VASP calculation (GGA-PBE) on a relaxed structure of PmLuBi.

a b c (Å): 5.201 5.201 4.025
angles (deg): 90.00 90.00 120.00
Fractional coordinates of all 3 atoms:
Pm (0.000, 0.000, 0.000)
Lu (0.333, 0.667, 0.529)
Bi (0.667, 0.333, 0.395)

Computed properties:
Polymorph energy (0 for the lowest one)   171 meV per atom
VASP energy   -14.0 eV per cell
Crystal system   trigonal
Density of states at the Fermi level   3.918 states/eV/f.u.
Total magnetic moment   0.00 Bohr magnetons per cell
Formation energy from the elements   -0.271 eV per atom